{
  "formula": "Li3NbO4",
  "functional": "PBE-GGA",
  "state": "relaxed",
  "lattice": [[4.867, -1.526, 0.000], [4.867, 1.526, 0.000], [-1.038, 0.000, 4.978]],
  "species": ["Li", "Li", "Li", "Nb", "O", "O", "O", "O"],
  "fractional_positions": [[0.251, 0.251, 0.284], [0.000, 0.000, 0.500], [0.749, 0.749, 0.716], [0.500, 0.500, 0.000], [0.884, 0.884, 0.113], [0.620, 0.620, 0.358], [0.380, 0.380, 0.642], [0.116, 0.116, 0.887]],
  "relative_energy_mev_per_atom": 73.5,
  "space_group": "C2/m (12)"
}